No. 1
! GGA-PBE Ce3HgN, relaxed; values from VASP
! * formation energy without anion corrections: -0.737 eV per atom
! * calculated density: 8980 kg/m³
&SYSTEM
  ibrav = 0, nat = 5, ntyp = 3
/
ATOMIC_SPECIES
Hg 200.59 Hg.upf
Ce 140.12 Ce.upf
N 14.01 N.upf
ATOMIC_POSITIONS crystal
Hg 0.500 0.500 0.500
Ce 0.000 0.500 0.000
Ce 0.000 0.000 0.500
Ce 0.500 0.000 0.000
N 0.000 0.000 0.000
CELL_PARAMETERS angstrom
4.897 0.000 0.000
0.000 4.897 0.000
0.000 0.000 4.897

No. 2
! GGA-PBE Ba2ZnGaH, relaxed; values from VASP
! * calculated density: 5047 kg/m³
&SYSTEM
  ibrav = 0, nat = 5, ntyp = 4
/
ATOMIC_SPECIES
H 1.01 H.upf
Zn 65.41 Zn.upf
Ba 137.33 Ba.upf
Ga 69.72 Ga.upf
ATOMIC_POSITIONS crystal
H 0.000 0.000 0.000
Zn 0.000 0.000 0.500
Ba 0.000 0.500 0.000
Ba 0.500 0.000 0.000
Ga 0.500 0.500 0.500
CELL_PARAMETERS angstrom
5.618 0.000 0.000
0.000 5.618 0.000
0.000 0.000 4.282

No. 3
! GGA-PBE AcMg8Al2Zn, relaxed; values from VASP
! * calculated density: 3062 kg/m³
! * formation enthalpy at 0 K: 0.028 eV/atom
&SYSTEM
  ibrav = 0, nat = 12, ntyp = 4
/
ATOMIC_SPECIES
Ac 227.00 Ac.upf
Mg 24.30 Mg.upf
Al 26.98 Al.upf
Zn 65.41 Zn.upf
ATOMIC_POSITIONS crystal
Ac 0.000 0.000 0.500
Mg 0.774 0.268 0.804
Mg 0.682 0.682 0.038
Mg 0.723 0.723 0.657
Mg 0.277 0.277 0.343
Mg 0.318 0.318 0.962
Mg 0.268 0.774 0.804
Mg 0.732 0.226 0.196
Mg 0.226 0.732 0.196
Al 0.623 0.623 0.397
Al 0.377 0.377 0.603
Zn 0.000 0.000 0.000
CELL_PARAMETERS angstrom
5.201 -0.215 -0.658
2.209 4.714 -0.658
-0.875 -0.531 11.891

No. 4
! GGA-PBE MgZnSb, relaxed; values from VASP
! * formation energy without anion corrections: -0.033 eV per atom
! * calculated density: 4981 kg/m³
&SYSTEM
  ibrav = 0, nat = 3, ntyp = 3
/
ATOMIC_SPECIES
Mg 24.30 Mg.upf
Sb 121.76 Sb.upf
Zn 65.41 Zn.upf
ATOMIC_POSITIONS crystal
Mg 0.000 0.000 0.975
Sb 0.333 0.667 0.395
Zn 0.667 0.333 0.630
CELL_PARAMETERS angstrom
4.348 0.000 0.000
-2.174 3.765 0.000
0.000 0.000 4.307

No. 5
! GGA-PBE LaGa4Cu2Au, relaxed; values from VASP
! * calculated density: 8306 kg/m³
! * formation enthalpy at 0 K: -0.304 eV/atom
&SYSTEM
  ibrav = 0, nat = 8, ntyp = 4
/
ATOMIC_SPECIES
La 138.91 La.upf
Ga 69.72 Ga.upf
Cu 63.55 Cu.upf
Au 196.97 Au.upf
ATOMIC_POSITIONS crystal
La 0.000 0.000 0.000
Ga 0.402 0.402 0.794
Ga 0.878 0.878 0.365
Ga 0.122 0.122 0.635
Ga 0.598 0.598 0.206
Cu 0.753 0.753 0.741
Cu 0.247 0.247 0.259
Au 0.500 0.500 0.500
CELL_PARAMETERS angstrom
4.269 0.000 0.000
2.134 3.697 0.000
2.134 1.232 9.398

No. 6
! GGA-PBE Ca2BeGe, relaxed; values from VASP
! * calculated density: 2411 kg/m³
! * formation enthalpy at 0 K: 0.515 eV/atom
&SYSTEM
  ibrav = 0, nat = 8, ntyp = 3
/
ATOMIC_SPECIES
Be 9.01 Be.upf
Ge 72.64 Ge.upf
Ca 40.08 Ca.upf
ATOMIC_POSITIONS crystal
Be 0.500 0.500 0.000
Be 0.250 0.750 0.500
Ge 0.000 0.000 0.000
Ge 0.750 0.250 0.500
Ca 0.625 0.125 0.250
Ca 0.125 0.625 0.250
Ca 0.375 0.375 0.750
Ca 0.875 0.875 0.750
CELL_PARAMETERS angstrom
4.808 0.000 0.000
0.000 4.808 0.000
2.404 2.404 9.642

No. 7
! GGA-PBE Ca4N2Cl, relaxed; values from VASP
! * formation energy without anion corrections: -0.761 eV per atom
! * calculated density: 2185 kg/m³
&SYSTEM
  ibrav = 0, nat = 7, ntyp = 3
/
ATOMIC_SPECIES
Ca 40.08 Ca.upf
N 14.01 N.upf
Cl 35.45 Cl.upf
ATOMIC_POSITIONS crystal
Ca 0.733 0.733 0.535
Ca 0.267 0.267 0.465
Ca 0.000 0.500 0.000
Ca 0.500 0.000 0.000
N 0.555 0.555 0.890
N 0.445 0.445 0.110
Cl 0.000 0.000 0.000
CELL_PARAMETERS angstrom
-2.886 3.265 -2.962
1.413 -2.668 -4.318
-5.591 -3.375 -2.959

No. 8
! GGA-PBE BeAsAu, relaxed; values from VASP
! * calculated density: 8088 kg/m³
! * formation enthalpy at 0 K: 0.055 eV/atom
&SYSTEM
  ibrav = 0, nat = 12, ntyp = 3
/
ATOMIC_SPECIES
Be 9.01 Be.upf
As 74.92 As.upf
Au 196.97 Au.upf
ATOMIC_POSITIONS crystal
Be 0.000 0.000 0.000
Be 0.500 0.500 0.500
Be 0.500 0.000 0.500
Be 0.000 0.500 0.000
As 0.228 0.250 0.414
As 0.272 0.750 0.914
As 0.772 0.750 0.586
As 0.728 0.250 0.086
Au 0.698 0.250 0.721
Au 0.802 0.750 0.221
Au 0.302 0.750 0.279
Au 0.198 0.250 0.779
CELL_PARAMETERS angstrom
6.848 0.000 0.000
0.000 4.713 0.000
0.000 0.000 7.148

Per-record D(E_F), states/eV/f.u.: 10.27 2.77 3.73 1.07 3.65 4.44 2.92 0.45
Per-record uncorrected energy, eV per atom: -6.023 -2.529 -2.107 -2.363 -3.867 -2.572 -4.548 -3.829